# 1
# CaFeOs

A geometry-optimized CaFeOs structure (PBE, Alexandria).

The crystal system is orthorhombic. As for the density of states at the Fermi level: 0.2688 states/eV per atom. For the energy above the most stable polymorph in this dataset, the calculation gives 0.3162 eV per atom. The total DFT energy (no corrections) is -20.334 eV per formula unit. The formation enthalpy at 0 K is 0.45 eV per atom.

The structure in extended XYZ format:
```
12
Lattice="5.627 0.000 0.000 0.000 4.069 0.000 0.000 0.000 10.787" Properties=species:S:1:pos:R:3 pbc="T T T"
Ca 4.991 1.017 3.944
Ca 3.450 3.051 9.338
Ca 0.637 3.051 6.843
Ca 2.177 1.017 1.450
Os 2.219 1.017 4.908
Os 0.595 3.051 10.301
Os 3.408 3.051 5.880
Os 5.033 1.017 0.486
Fe 0.652 1.017 9.048
Fe 2.161 3.051 3.655
Fe 4.975 3.051 1.739
Fe 3.466 1.017 7.133
```

---

# 2
# Zn2CoBr

A geometry-optimized Zn2CoBr structure (PBE, Alexandria).

The crystal system is orthorhombic. As for the density of states at the Fermi level: 0.8597 states/eV per atom. For the energy above the most stable polymorph in this dataset, the calculation gives 0.0307 eV per atom. The total DFT energy (no corrections) is -10.819 eV per formula unit. For the raw formation energy, the calculation gives 0.13 eV/atom.

The structure in extended XYZ format:
```
4
Lattice="3.109 0.000 0.000 0.000 2.923 -0.054 0.000 0.136 7.553" Properties=species:S:1:pos:R:3 pbc="T T T"
Br 1.555 0.765 1.875
Co 1.555 2.294 5.624
Zn 0.000 0.859 7.020
Zn 0.000 0.807 4.283
```